RbVTcO6 | Alexandria via LeMat-Bulk | PBE+U | relaxed; calculated volume = 16.43 Å³ per atom; DOS at the Fermi energy = 0.283 states/eV/f.u.; DFT total energy = -7.016 eV/atom
1.0
-1.0611 1.7061 4.7130
-5.0506 1.0399 1.5678
-0.2648 -5.9817 1.9782
O V Rb Tc
6 1 1 1
Direct
0.3916 0.6165 0.3374
0.9788 0.5951 0.6802
0.0118 0.4087 0.3189
0.6054 0.9939 0.3255
0.6123 0.3863 0.6694
0.3854 0.0050 0.6710
0.6624 0.6803 0.4546
0.0083 0.9917 0.0052
0.3439 0.3225 0.5375